Record 1
8
Lattice="2.376 1.372 8.230 -2.376 1.372 8.230 0.000 -2.743 8.230" Properties=species:S:1:pos:R:3 comment="LiPmTm2Pt4 GGA-PBE relaxed" delta_e_f_mev_per_atom=-1071 final_energy_ev_per_atom=-6.04 dos_ef_per_ev_atom=0.35 pbc="T T T"
Li 0.000 0.000 0.000
Pm 0.000 0.000 12.345
Tm 0.000 0.000 6.479
Tm 0.000 0.000 18.212
Pt 0.000 0.000 2.710
Pt 0.000 0.000 9.297
Pt 0.000 0.000 15.393
Pt 0.000 0.000 21.980

***

Record 2
4
Lattice="0.000 3.577 3.577 3.577 0.000 3.577 3.577 3.577 0.000" Properties=species:S:1:pos:R:3 comment="LiPmYPt GGA-PBE relaxed" delta_e_f_mev_per_atom=-603 final_energy_ev_per_atom=-5.40 dos_ef_per_ev_atom=0.91 pbc="T T T"
Li 0.000 0.000 0.000
Pm 5.365 5.365 5.365
Y 1.788 1.788 1.788
Pt 3.577 3.577 3.577

***

Record 3
6
Lattice="4.360 0.000 0.000 -2.180 3.776 0.000 0.000 0.000 6.690" Properties=species:S:1:pos:R:3 comment="LiPmZn2Pt2 GGA-PBE relaxed" delta_e_f_mev_per_atom=-759 final_energy_ev_per_atom=-4.31 dos_ef_per_ev_atom=0.43 pbc="T T T"
Li 0.000 0.000 0.000
Pm 0.000 0.000 3.345
Zn 0.000 2.517 5.564
Zn 2.180 1.259 1.126
Pt 0.000 2.517 1.538
Pt 2.180 1.259 5.152